Model 1:
{"formula": "AlSbPb2", "functional": "SCAN", "state": "PBEsol geometry", "cell": [[7.488, 0.000, 0.000], [0.000, 7.488, 0.000], [0.000, 0.000, 7.488]], "species": ["Al", "Al", "Al", "Al", "Sb", "Sb", "Sb", "Sb", "Pb", "Pb", "Pb", "Pb", "Pb", "Pb", "Pb", "Pb"], "frac_coords": [[0.000, 0.000, 0.000], [0.000, 0.500, 0.500], [0.500, 0.000, 0.500], [0.500, 0.500, 0.000], [0.250, 0.250, 0.250], [0.250, 0.750, 0.750], [0.750, 0.250, 0.750], [0.750, 0.750, 0.250], [0.000, 0.000, 0.500], [0.000, 0.500, 0.000], [0.250, 0.250, 0.750], [0.250, 0.750, 0.250], [0.500, 0.000, 0.000], [0.500, 0.500, 0.500], [0.750, 0.250, 0.250], [0.750, 0.750, 0.750]], "magmom_total_mub_per_fu": 0.0}

=====

Model 2:
{"formula": "AlSbPb2", "functional": "SCAN", "state": "PBEsol geometry", "cell": [[3.454, 0.000, 0.000], [0.000, 3.746, 0.000], [0.000, 0.000, 8.013]], "species": ["Al", "Sb", "Pb", "Pb"], "frac_coords": [[0.000, 0.000, 0.000], [0.500, 0.500, 0.817], [0.000, 0.000, 0.541], [0.500, 0.500, 0.246]], "magmom_total_mub_per_fu": 0.0}

=====

Model 3:
{"formula": "AlSbPb2", "functional": "SCAN", "state": "PBEsol geometry", "cell": [[3.326, 0.000, 0.000], [0.000, 5.334, 0.000], [-0.493, 0.000, 5.928]], "species": ["Al", "Sb", "Pb", "Pb"], "frac_coords": [[0.000, 0.000, 0.000], [0.500, 0.000, 0.500], [0.241, 0.500, 0.760], [0.759, 0.500, 0.240]], "magmom_total_mub_per_fu": 0.0}

=====

The winner here is model 2, beating the second structure by 8.3 kJ/mol of atoms.

=====

Model 1:
{"formula": "AlPb2Se", "functional": "SCAN", "state": "PBEsol geometry", "cell": [[7.334, 0.000, 0.000], [0.000, 7.334, 0.000], [0.000, 0.000, 7.334]], "species": ["Al", "Al", "Al", "Al", "Pb", "Pb", "Pb", "Pb", "Pb", "Pb", "Pb", "Pb", "Se", "Se", "Se", "Se"], "frac_coords": [[0.000, 0.000, 0.000], [0.000, 0.500, 0.500], [0.500, 0.000, 0.500], [0.500, 0.500, 0.000], [0.000, 0.000, 0.500], [0.000, 0.500, 0.000], [0.250, 0.250, 0.750], [0.250, 0.750, 0.250], [0.500, 0.000, 0.000], [0.500, 0.500, 0.500], [0.750, 0.250, 0.250], [0.750, 0.750, 0.750], [0.250, 0.250, 0.250], [0.250, 0.750, 0.750], [0.750, 0.250, 0.750], [0.750, 0.750, 0.250]], "magmom_total_mub_per_fu": 0.0}

=====

Model 2:
{"formula": "AlPb2Se", "functional": "SCAN", "state": "PBEsol geometry", "cell": [[3.923, 0.000, 0.000], [-1.961, 3.397, 0.000], [0.000, 0.000, 23.765]], "species": ["Al", "Al", "Al", "Pb", "Pb", "Pb", "Pb", "Pb", "Pb", "Se", "Se", "Se"], "frac_coords": [[0.000, 0.000, 0.000], [0.333, 0.667, 0.667], [0.667, 0.333, 0.333], [0.000, 0.000, 0.249], [0.000, 0.000, 0.751], [0.333, 0.667, 0.418], [0.333, 0.667, 0.915], [0.667, 0.333, 0.085], [0.667, 0.333, 0.582], [0.000, 0.000, 0.500], [0.333, 0.667, 0.167], [0.667, 0.333, 0.833]], "magmom_total_mub_per_fu": 0.0}

=====

Model 3:
{"formula": "AlPb2Se", "functional": "SCAN", "state": "PBEsol geometry", "cell": [[4.710, 0.000, 0.000], [0.000, 4.710, 0.000], [0.000, 0.000, 9.006]], "species": ["Al", "Al", "Pb", "Pb", "Pb", "Pb", "Se", "Se"], "frac_coords": [[0.000, 0.000, 0.000], [0.500, 0.500, 0.500], [0.000, 0.500, 0.250], [0.000, 0.500, 0.750], [0.500, 0.000, 0.250], [0.500, 0.000, 0.750], [0.000, 0.000, 0.500], [0.500, 0.500, 0.000]], "magmom_total_mub_per_fu": 0.0}

=====

The winner here is model 2, beating the second structure by 11.0 kJ/mol of atoms.

=====

Model 1:
{"formula": "Al2SiPb", "functional": "SCAN", "state": "PBEsol geometry", "cell": [[3.230, 0.000, 0.000], [0.000, 3.230, 0.000], [0.000, 0.000, 7.597]], "species": ["Al", "Al", "Si", "Pb"], "frac_coords": [[0.000, 0.000, 0.000], [0.500, 0.500, 0.217], [0.500, 0.500, 0.820], [0.000, 0.000, 0.522]], "magmom_total_mub_per_fu": 0.0}

=====

Model 2:
{"formula": "Al2SiPb", "functional": "SCAN", "state": "PBEsol geometry", "cell": [[5.780, 0.000, 0.000], [0.000, 10.256, 0.000], [-1.692, 0.000, 2.729]], "species": ["Al", "Al", "Al", "Al", "Si", "Si", "Pb", "Pb"], "frac_coords": [[0.250, 0.250, 0.000], [0.250, 0.750, 0.000], [0.750, 0.250, 0.000], [0.750, 0.750, 0.000], [0.000, 0.000, 0.500], [0.500, 0.500, 0.500], [0.000, 0.500, 0.500], [0.500, 0.000, 0.500]], "magmom_total_mub_per_fu": 0.0}

=====

The winner here is model 1, beating the second structure by 13.8 kJ/mol of atoms.

=====

Model 1:
{"formula": "AlTc2Pb", "functional": "SCAN", "state": "PBEsol geometry", "cell": [[3.190, 0.000, 0.000], [0.000, 4.383, 0.000], [0.000, 0.000, 9.270]], "species": ["Al", "Al", "Tc", "Tc", "Tc", "Tc", "Pb", "Pb"], "frac_coords": [[0.000, 0.000, 0.000], [0.500, 0.500, 0.500], [0.000, 0.000, 0.534], [0.000, 0.500, 0.273], [0.500, 0.000, 0.773], [0.500, 0.500, 0.034], [0.000, 0.500, 0.772], [0.500, 0.000, 0.272]], "magmom_total_mub_per_fu": 0.0}

=====

Model 2:
{"formula": "AlTc2Pb", "functional": "SCAN", "state": "PBEsol geometry", "cell": [[2.974, 0.000, 0.000], [-1.487, 2.576, 0.000], [0.000, 0.000, 26.846]], "species": ["Al", "Al", "Al", "Tc", "Tc", "Tc", "Tc", "Tc", "Tc", "Pb", "Pb", "Pb"], "frac_coords": [[0.000, 0.000, 0.000], [0.333, 0.667, 0.667], [0.667, 0.333, 0.333], [0.000, 0.000, 0.260], [0.000, 0.000, 0.522], [0.333, 0.667, 0.188], [0.333, 0.667, 0.927], [0.667, 0.333, 0.594], [0.667, 0.333, 0.855], [0.000, 0.000, 0.766], [0.333, 0.667, 0.432], [0.667, 0.333, 0.099]], "magmom_total_mub_per_fu": 0.0}

=====

The winner here is model 2, beating the second structure by 6.6 kJ/mol of atoms.